Record 1
This record from Alexandria via LeMat-Bulk describes a crystal of Li4Mg3 relaxed with PBEsol. The functional is SCAN.

Geometry as POSCAR:
```
Li4Mg3
1.0
-4.079 1.310 3.089
-3.509 -3.363 -3.207
2.768 -2.241 4.606
Mg Li
3 4
Cartesian
1.384 -1.120 2.303
-1.754 -1.681 -1.603
-0.370 -2.802 0.700
-3.059 0.983 2.317
-1.020 0.328 0.772
-1.364 -1.959 3.546
-3.456 -2.334 0.942
```

Properties
M_tot (μB per cell): 0.10
Energy (eV per formula unit): -24.25
ΔH_f (0 K) (eV/atom): 0.03
ΔE to the lowest computed polymorph (meV per atom): 68
DOS(E_F) (states/eV/f.u.): 2.94

Record 2
This record from Alexandria via LeMat-Bulk describes a crystal of CaMo2Rh relaxed with PBEsol. The functional is SCAN.

Geometry as POSCAR:
```
CaMo2Rh
1.0
4.512 0.000 0.000
2.256 3.908 0.000
2.256 1.303 3.684
Ca Mo Rh
1 2 1
Cartesian
4.512 2.605 1.842
0.000 0.000 0.000
6.768 3.908 2.763
2.256 1.303 0.921
```

Properties
M_tot (μB per cell): 0.00
Energy (eV per formula unit): -111.67
ΔH_f (0 K) (eV/atom): 0.38
ΔE to the lowest computed polymorph (meV per atom): 161
DOS(E_F) (states/eV/f.u.): 2.75

Record 3
This record from Alexandria via LeMat-Bulk describes a crystal of Zr2IrCl relaxed with PBEsol. The functional is SCAN.

Geometry as POSCAR:
```
Zr2IrCl
1.0
3.130 0.000 0.000
0.000 4.422 0.000
0.000 0.000 5.341
Ir Zr Cl
1 2 1
Cartesian
1.565 2.211 2.670
0.000 0.000 2.670
1.565 2.211 0.000
0.000 0.000 0.000
```

Properties
M_tot (μB per cell): 0.00
Formation energy (no corrections) (eV/atom): -0.8738
Energy (eV per formula unit): -143.97
ΔE to the lowest computed polymorph (meV per atom): 49
DOS(E_F) (states/eV/f.u.): 1.93

Record 4
This record from Alexandria via LeMat-Bulk describes a crystal of Mn2MoSe relaxed with PBEsol. The functional is SCAN.

Geometry as POSCAR:
```
Mn2MoSe
1.0
2.966 0.000 0.000
0.000 4.206 0.000
0.000 0.000 4.201
Mn Mo Se
2 1 1
Cartesian
0.000 0.000 0.000
1.483 0.000 2.100
1.483 2.103 0.000
0.000 2.103 2.100
```

Properties
M_tot (μB per cell): 1.05
Formation energy (no corrections) (eV/atom): 0.1219
Energy (eV per formula unit): -90.99
DOS(E_F) (states/eV/f.u.): 2.80

Record 5
This record from Alexandria via LeMat-Bulk describes a crystal of KHfS2N relaxed with PBEsol. The functional is SCAN.

Geometry as POSCAR:
```
KHfS2N
1.0
4.220 0.000 0.000
0.000 5.002 0.000
0.000 0.000 5.002
K Hf S N
1 1 2 1
Cartesian
2.110 2.501 2.501
0.000 0.000 0.000
0.000 0.000 2.501
0.000 2.501 0.000
2.110 0.000 0.000
```

Properties
M_tot (μB per cell): 1.91
Formation energy (no corrections) (eV/atom): -0.9514
Energy (eV per formula unit): -104.31
DOS(E_F) (states/eV/f.u.): 1.64

Record 6
This record from Alexandria via LeMat-Bulk describes a crystal of Y4Ga12Fe relaxed with PBEsol. The functional is SCAN.

Geometry as POSCAR:
```
Y4Ga12Fe
1.0
-0.767 -3.601 6.322
-2.608 -4.097 -5.472
7.086 1.400 -1.165
Y Ga Fe
4 12 1
Cartesian
-1.304 -2.048 -2.736
3.543 0.700 -0.582
1.855 -3.149 -0.157
-0.384 -1.800 3.161
1.395 -3.273 -3.106
3.818 -1.898 -2.029
4.279 -1.774 0.920
-0.108 -4.399 1.714
2.315 -3.025 2.791
-0.568 -4.523 -1.234
-0.960 -2.189 0.242
4.521 -1.575 3.690
1.274 -0.767 -1.888
-2.415 -5.508 0.608
1.797 -0.626 1.467
3.204 -1.930 -4.749
0.000 0.000 0.000
```

Properties
M_tot (μB per cell): 1.74
Energy (eV per formula unit): -336.21
ΔH_f (0 K) (eV/atom): -0.62
DOS(E_F) (states/eV/f.u.): 5.07

Record 7
This record from Alexandria via LeMat-Bulk describes a crystal of TlHgIO2 relaxed with PBEsol. The functional is SCAN.

Geometry as POSCAR:
```
TlHgIO2
1.0
-3.008 1.625 2.422
-1.253 -3.861 1.035
4.110 0.029 5.086
I Tl Hg O
1 1 1 2
Cartesian
2.055 0.014 2.543
0.000 0.000 0.000
-0.075 -1.104 4.271
-0.626 -1.931 0.517
-1.504 0.812 1.211
```

Properties
M_tot (μB per cell): 0.55
Formation energy (no corrections) (eV/atom): 0.1440
Energy (eV per formula unit): -189.01
DOS(E_F) (states/eV/f.u.): 2.50

Record 8
This record from Alexandria via LeMat-Bulk describes a crystal of Sc2Rh relaxed with PBEsol. The functional is SCAN.

Geometry as POSCAR:
```
Sc2Rh
1.0
3.409 0.000 0.000
-1.705 5.538 0.000
0.000 0.000 6.238
Rh Sc
2 4
Cartesian
0.000 4.221 5.785
1.705 1.317 2.666
1.705 5.281 1.335
0.000 3.235 3.292
0.000 0.257 4.454
1.705 2.303 0.173
```

Properties
M_tot (μB per cell): 0.00
Energy (eV per formula unit): -64.46
ΔH_f (0 K) (eV/atom): -0.74
DOS(E_F) (states/eV/f.u.): 2.41

Record 9
This record from Alexandria via LeMat-Bulk describes a crystal of TeMo2S relaxed with PBEsol. The functional is SCAN.

Geometry as POSCAR:
```
TeMo2S
1.0
-1.670 -2.595 -3.229
0.242 -4.445 0.358
-3.702 -2.386 0.743
Mo Te S
2 1 1
Cartesian
-1.282 -2.357 -0.532
-3.847 -7.070 -1.597
-2.565 -4.713 -1.064
0.000 0.000 0.000
```

Properties
M_tot (μB per cell): 0.00
Formation energy (no corrections) (eV/atom): 0.2963
Energy (eV per formula unit): -115.46
DOS(E_F) (states/eV/f.u.): 3.19

Record 10
This record from Alexandria via LeMat-Bulk describes a crystal of NbTeRhI2 relaxed with PBEsol. The functional is SCAN.

Geometry as POSCAR:
```
NbTeRhI2
1.0
5.182 0.000 0.000
0.000 5.182 0.000
0.000 0.000 5.166
I Nb Te Rh
2 1 1 1
Cartesian
0.000 2.591 0.000
2.591 0.000 0.000
2.591 2.591 2.583
0.000 0.000 2.583
0.000 0.000 0.000
```

Properties
M_tot (μB per cell): 2.66
Formation energy (no corrections) (eV/atom): 0.6939
Energy (eV per formula unit): -174.17
DOS(E_F) (states/eV/f.u.): 3.82

Record 11
This record from Alexandria via LeMat-Bulk describes a crystal of Mg2CuRh relaxed with PBEsol. The functional is SCAN.

Geometry as POSCAR:
```
Mg2CuRh
1.0
3.048 0.000 0.000
0.000 4.391 -0.028
-1.524 -1.627 4.504
Mg Rh Cu
2 1 1
Cartesian
1.524 2.627 4.348
1.524 0.427 2.381
1.524 2.053 0.098
0.000 2.616 2.111
```

Properties
M_tot (μB per cell): 0.00
Energy (eV per formula unit): -60.23
ΔH_f (0 K) (eV/atom): -0.33
DOS(E_F) (states/eV/f.u.): 1.32

Record 12
This record from Alexandria via LeMat-Bulk describes a crystal of CuTc2Mo relaxed with PBEsol. The functional is SCAN.

Geometry as POSCAR:
```
CuTc2Mo
1.0
-1.364 -0.981 -2.195
-3.133 -1.787 2.745
-0.995 4.595 0.306
Cu Mo Tc
1 1 2
Cartesian
-2.247 -1.363 0.265
-2.312 1.111 -0.801
-5.447 1.812 0.834
-3.226 0.710 1.686
```

Properties
M_tot (μB per cell): 0.00
Energy (eV per formula unit): -119.26
ΔH_f (0 K) (eV/atom): 0.24
ΔE to the lowest computed polymorph (meV per atom): 66
DOS(E_F) (states/eV/f.u.): 3.35

Record 13
This record from Alexandria via LeMat-Bulk describes a crystal of TaTeRu2 relaxed with PBEsol. The functional is SCAN.

Geometry as POSCAR:
```
TaTeRu2
1.0
3.107 0.000 0.000
0.000 4.609 -0.007
0.000 -0.889 4.522
Ru Ta Te
2 1 1
Cartesian
0.000 2.304 -0.004
0.000 -0.445 2.261
1.554 0.000 0.000
1.554 1.860 2.257
```

Properties
M_tot (μB per cell): 0.00
Formation energy (no corrections) (eV/atom): 0.0901
Energy (eV per formula unit): -173.13
DOS(E_F) (states/eV/f.u.): 2.50

Record 14
This record from Alexandria via LeMat-Bulk describes a crystal of TaCuNi2 relaxed with PBEsol. The functional is SCAN.

Geometry as POSCAR:
```
TaCuNi2
1.0
-0.049 1.212 3.490
-1.316 -3.267 1.117
4.024 -0.162 -1.844
Ni Cu Ta
2 1 1
Cartesian
1.646 0.012 1.975
1.013 -2.228 0.788
-0.682 -1.027 2.303
0.000 0.000 0.000
```

Properties
M_tot (μB per cell): 0.00
Energy (eV per formula unit): -114.93
ΔH_f (0 K) (eV/atom): -0.20
DOS(E_F) (states/eV/f.u.): 1.69

Record 15
This record from Alexandria via LeMat-Bulk describes a crystal of CdBiRhN2 relaxed with PBEsol. The functional is SCAN.

Geometry as POSCAR:
```
CdBiRhN2
1.0
-2.471 3.044 1.655
0.240 -1.878 3.812
4.130 2.755 1.097
N Rh Bi Cd
2 1 1 1
Cartesian
0.120 -0.939 1.906
-1.235 1.522 0.828
2.065 1.378 0.549
0.000 0.000 0.000
0.950 1.961 3.282
```

Properties
M_tot (μB per cell): 0.01
Formation energy (no corrections) (eV/atom): 1.8423
Energy (eV per formula unit): -152.14
DOS(E_F) (states/eV/f.u.): 4.58

Record 16
This record from Alexandria via LeMat-Bulk describes a crystal of K3SnPCO7 relaxed with PBEsol. The functional is SCAN.

Geometry as POSCAR:
```
K3SnPCO7
1.0
6.084 0.000 -0.138
0.000 7.103 0.000
-0.620 0.000 9.815
K Sn P C O
6 2 2 2 14
Cartesian
0.773 1.776 8.986
3.878 7.077 7.134
3.878 3.577 7.134
1.587 3.526 2.544
1.587 0.025 2.544
4.691 5.327 0.691
0.782 5.327 6.146
4.683 1.776 3.531
0.955 1.776 5.873
4.509 5.327 3.804
0.949 5.327 9.043
4.516 1.776 0.635
4.133 1.776 9.192
-0.080 5.327 8.201
2.148 5.327 8.557
0.293 0.529 6.541
0.293 3.022 6.541
2.462 1.776 6.078
4.816 5.327 5.354
0.648 1.776 4.324
3.003 5.327 3.599
5.171 4.080 3.136
5.171 6.574 3.136
3.317 1.776 1.121
5.545 1.776 1.477
1.331 5.327 0.485
```

Properties
M_tot (μB per cell): 0.00
Formation energy (no corrections) (eV/atom): -2.0727
Energy (eV per formula unit): -151.97
DOS(E_F) (states/eV/f.u.): 0.00

Record 17
This record from Alexandria via LeMat-Bulk describes a crystal of LiCd2Ag relaxed with PBEsol. The functional is SCAN.

Geometry as POSCAR:
```
LiCd2Ag
1.0
3.041 0.000 0.000
-1.521 4.899 -0.118
0.000 -1.031 4.824
Cd Ag Li
2 1 1
Cartesian
0.000 0.031 0.052
0.000 1.654 3.508
1.521 2.232 1.161
0.000 4.336 2.278
```

Properties
M_tot (μB per cell): 0.00
Energy (eV per formula unit): -95.25
ΔH_f (0 K) (eV/atom): -0.17
ΔE to the lowest computed polymorph (meV per atom): 55
DOS(E_F) (states/eV/f.u.): 1.07

Record 18
This record from Alexandria via LeMat-Bulk describes a crystal of NbTl3Sb relaxed with PBEsol. The functional is SCAN.

Geometry as POSCAR:
```
NbTl3Sb
1.0
5.414 0.000 0.000
0.000 5.414 0.000
0.000 0.000 5.414
Sb Tl Nb
1 3 1
Cartesian
2.707 2.707 2.707
0.000 2.707 0.000
0.000 0.000 2.707
2.707 0.000 0.000
0.000 0.000 0.000
```

Properties
M_tot (μB per cell): 0.00
Formation energy (no corrections) (eV/atom): 0.7592
Energy (eV per formula unit): -283.67
DOS(E_F) (states/eV/f.u.): 4.87

Record 19
This record from Alexandria via LeMat-Bulk describes a crystal of B2HOsW relaxed with PBEsol. The functional is SCAN.

Geometry as POSCAR:
```
B2HOsW
1.0
-1.235 1.417 -2.473
2.210 -2.109 -2.312
-2.733 -2.679 -0.169
H B Os W
1 2 1 1
Cartesian
0.000 0.000 0.000
-1.367 -1.340 -0.085
1.105 -1.054 -1.156
-0.879 -1.686 -2.477
-0.618 0.708 -1.236
```

Properties
M_tot (μB per cell): 0.00
Energy (eV per formula unit): -155.26
DOS(E_F) (states/eV/f.u.): 2.63

Record 20
This record from Alexandria via LeMat-Bulk describes a crystal of LaCd2Au relaxed with PBEsol. The functional is SCAN.

Geometry as POSCAR:
```
LaCd2Au
1.0
3.512 0.000 0.000
0.000 3.512 0.000
0.000 0.000 7.453
Cd Au La
2 1 1
Cartesian
0.000 0.000 7.355
1.756 1.756 1.575
1.756 1.756 5.800
0.000 0.000 3.903
```

Properties
M_tot (μB per cell): 0.00
Energy (eV per formula unit): -175.01
ΔH_f (0 K) (eV/atom): -0.48
DOS(E_F) (states/eV/f.u.): 2.68

Record 21
This record from Alexandria via LeMat-Bulk describes a crystal of SiAsW3 relaxed with PBEsol. The functional is SCAN.

Geometry as POSCAR:
```
SiAsW3
1.0
-1.971 -3.408 2.136
1.654 -2.855 -3.029
3.666 -0.544 2.515
As Si W
1 1 3
Cartesian
1.675 -3.404 0.811
0.000 0.000 0.000
0.827 -1.428 -1.515
1.833 -0.272 1.257
-0.986 -1.704 1.068
```

Properties
M_tot (μB per cell): 0.00
Formation energy (no corrections) (eV/atom): 1.6774
Energy (eV per formula unit): -230.88
ΔE to the lowest computed polymorph (meV per atom): 0
DOS(E_F) (states/eV/f.u.): 4.34

Record 22
This record from Alexandria via LeMat-Bulk describes a crystal of ReAg4Pb relaxed with PBEsol. The functional is SCAN.

Geometry as POSCAR:
```
ReAg4Pb
1.0
5.385 0.000 0.000
2.692 4.663 0.000
2.692 1.554 4.397
Ag Pb Re
4 1 1
Cartesian
4.032 2.328 1.646
5.385 3.109 3.855
6.738 2.328 1.646
5.385 4.671 1.646
8.077 4.663 3.298
0.000 0.000 0.000
```

Properties
M_tot (μB per cell): 3.26
Energy (eV per formula unit): -267.21
ΔH_f (0 K) (eV/atom): 0.86
DOS(E_F) (states/eV/f.u.): 3.48

Record 23
This record from Alexandria via LeMat-Bulk describes a crystal of Be2CrSi relaxed with PBEsol. The functional is SCAN.

Geometry as POSCAR:
```
Be2CrSi
1.0
-0.342 1.294 -2.964
2.336 -1.963 -1.127
-3.502 -2.182 1.236
Cr Si Be
1 1 2
Cartesian
0.000 0.000 0.000
-1.423 -0.611 -1.887
0.997 -0.334 -2.045
-0.085 -2.239 -0.968
```

Properties
M_tot (μB per cell): 0.00
Formation energy (no corrections) (eV/atom): -0.2440
Energy (eV per formula unit): -38.08
DOS(E_F) (states/eV/f.u.): 0.35

Record 24
This record from Alexandria via LeMat-Bulk describes a crystal of Y2CrBr relaxed with PBEsol. The functional is SCAN.

Geometry as POSCAR:
```
Y2CrBr
1.0
3.371 0.038 0.000
-0.043 3.371 0.000
0.000 0.000 8.089
Br Cr Y
1 1 2
Cartesian
1.664 1.704 4.044
1.664 1.704 0.000
0.000 0.000 1.751
0.000 0.000 6.338
```

Properties
M_tot (μB per cell): 2.75
Formation energy (no corrections) (eV/atom): -0.4222
Energy (eV per formula unit): -95.22
ΔE to the lowest computed polymorph (meV per atom): 87
DOS(E_F) (states/eV/f.u.): 2.69

Record 25
This record from Alexandria via LeMat-Bulk describes a crystal of CoOsSe4 relaxed with PBEsol. The functional is SCAN.

Geometry as POSCAR:
```
CoOsSe4
1.0
5.338 0.000 0.000
2.669 4.623 0.000
2.669 1.541 4.359
Co Os Se
1 1 4
Cartesian
8.007 4.623 3.269
0.000 0.000 0.000
4.001 2.310 1.633
5.338 3.082 3.817
6.675 2.310 1.633
5.338 4.626 1.633
```

Properties
M_tot (μB per cell): 4.29
Formation energy (no corrections) (eV/atom): 1.7262
Energy (eV per formula unit): -159.14
DOS(E_F) (states/eV/f.u.): 4.58

Record 26
This record from Alexandria via LeMat-Bulk describes a crystal of SrSi2Rh2 relaxed with PBEsol. The functional is SCAN.

Geometry as POSCAR:
```
SrSi2Rh2
1.0
-1.588 0.482 3.748
0.036 -4.064 0.538
5.549 2.095 -0.161
Sr Si Rh
1 2 2
Cartesian
0.000 0.000 0.000
3.503 0.223 1.455
0.493 -1.710 2.670
2.404 -1.880 1.260
1.593 0.393 2.865
```

Properties
M_tot (μB per cell): 0.00
Formation energy (no corrections) (eV/atom): -1.0128
Energy (eV per formula unit): -114.91
DOS(E_F) (states/eV/f.u.): 1.23

Record 27
This record from Alexandria via LeMat-Bulk describes a crystal of ScP2Pt relaxed with PBEsol. The functional is SCAN.

Geometry as POSCAR:
```
ScP2Pt
1.0
-2.015 -0.441 -2.612
-1.730 -0.161 2.839
-1.012 6.192 -0.265
P Pt Sc
2 1 1
Cartesian
-0.275 1.683 -0.072
-0.737 4.509 -0.193
-2.379 2.795 -0.019
-1.873 -0.301 0.113
```

Properties
M_tot (μB per cell): 0.00
Energy (eV per formula unit): -107.63
ΔH_f (0 K) (eV/atom): -0.60
ΔE to the lowest computed polymorph (meV per atom): 224
DOS(E_F) (states/eV/f.u.): 1.04